Entry 1:
Compound: K4Tm3US8
Source: Alexandria
Functional: GGA-PBE
Structure: optimized geometry

Cell: 8.711 8.711 8.711 Å, 54.97 54.97 54.97°
Sites, in units of the cell vectors:
K1 0.000 0.000 0.000
K2 0.000 0.500 0.500
K3 0.500 0.000 0.500
K4 0.500 0.500 0.000
Tm1 0.000 0.000 0.500
Tm2 0.000 0.500 0.000
Tm3 0.500 0.000 0.000
U1 0.500 0.500 0.500
S1 0.229 0.736 0.736
S2 0.233 0.233 0.233
S3 0.264 0.264 0.771
S4 0.264 0.771 0.264
S5 0.736 0.229 0.736
S6 0.736 0.736 0.229
S7 0.767 0.767 0.767
S8 0.771 0.264 0.264

The calculation puts the magnetization at 3.0 μB per cell. Its formation energy without anion corrections is -168 kJ per mole of atoms.

***

Entry 2:
Compound: K3Tm3VS8
Source: Alexandria
Functional: GGA-PBE
Structure: optimized geometry

Cell: 8.732 8.732 8.732 Å, 52.45 52.45 52.45°
Sites, in units of the cell vectors:
K1 0.000 0.500 0.500
K2 0.500 0.000 0.500
K3 0.500 0.500 0.000
Tm1 0.000 0.000 0.500
Tm2 0.000 0.500 0.000
Tm3 0.500 0.000 0.000
V1 0.500 0.500 0.500
S1 0.234 0.234 0.234
S2 0.256 0.715 0.715
S3 0.285 0.285 0.744
S4 0.285 0.744 0.285
S5 0.715 0.256 0.715
S6 0.715 0.715 0.256
S7 0.744 0.285 0.285
S8 0.766 0.766 0.766

The calculation puts the magnetization at 1.0 μB per cell. Its formation energy without anion corrections is -156 kJ per mole of atoms.

***

Entry 3:
Compound: KYTm4S8
Source: Alexandria
Functional: GGA-PBE
Structure: optimized geometry

Cell: 8.162 8.162 8.162 Å, 59.58 59.58 59.58°
Sites, in units of the cell vectors:
K1 0.000 0.000 0.000
Y1 0.632 0.632 0.632
Tm1 0.113 0.632 0.632
Tm2 0.252 0.252 0.252
Tm3 0.632 0.113 0.632
Tm4 0.632 0.632 0.113
S1 0.383 0.383 0.856
S2 0.383 0.856 0.383
S3 0.384 0.384 0.384
S4 0.426 0.863 0.863
S5 0.856 0.383 0.383
S6 0.860 0.860 0.860
S7 0.863 0.426 0.863
S8 0.863 0.863 0.426

The calculation puts the magnetization at 0.0 μB per cell. Its formation energy without anion corrections is -186 kJ per mole of atoms.

***

Entry 4:
Compound: K2TmZn2S4
Source: Alexandria
Functional: GGA-PBE
Structure: optimized geometry

Cell: 8.039 8.039 7.877 Å, 112.93 112.93 27.68°
Sites, in units of the cell vectors:
K1 0.127 0.127 0.059
K2 0.873 0.873 0.941
Tm1 0.000 0.000 0.500
Zn1 0.315 0.315 0.475
Zn2 0.685 0.685 0.525
S1 0.188 0.188 0.714
S2 0.468 0.468 0.713
S3 0.532 0.532 0.287
S4 0.812 0.812 0.286

The calculation puts the magnetization at 0.0 μB per cell. Its formation energy without anion corrections is -113 kJ per mole of atoms.

***

Entry 5:
Compound: K3Tm2ZrS6
Source: Alexandria
Functional: GGA-PBE
Structure: optimized geometry

Cell: 6.784 6.784 7.720 Å, 98.43 98.43 120.00°
Sites, in units of the cell vectors:
K1 0.000 0.000 0.000
K2 0.332 0.668 0.000
K3 0.668 0.332 0.000
Tm1 0.167 0.833 0.500
Tm2 0.833 0.167 0.500
Zr1 0.500 0.500 0.500
S1 0.109 0.433 0.300
S2 0.242 0.242 0.701
S3 0.433 0.109 0.300
S4 0.567 0.891 0.700
S5 0.758 0.758 0.299
S6 0.891 0.567 0.700

The calculation puts the magnetization at 0.0 μB per cell. Its formation energy without anion corrections is -167 kJ per mole of atoms.

***

Entry 6:
Compound: K4Tm3ZrS8
Source: Alexandria
Functional: GGA-PBE
Structure: optimized geometry

Cell: 8.657 8.657 8.657 Å, 54.16 54.16 54.16°
Sites, in units of the cell vectors:
K1 0.000 0.000 0.000
K2 0.000 0.500 0.500
K3 0.500 0.000 0.500
K4 0.500 0.500 0.000
Tm1 0.000 0.000 0.500
Tm2 0.000 0.500 0.000
Tm3 0.500 0.000 0.000
Zr1 0.500 0.500 0.500
S1 0.234 0.234 0.234
S2 0.241 0.729 0.729
S3 0.271 0.271 0.759
S4 0.271 0.759 0.271
S5 0.729 0.241 0.729
S6 0.729 0.729 0.241
S7 0.759 0.271 0.271
S8 0.766 0.766 0.766

The calculation puts the magnetization at 0.0 μB per cell. Its formation energy without anion corrections is -171 kJ per mole of atoms.

***

Entry 7:
Compound: K2US4
Source: Alexandria
Functional: GGA-PBE
Structure: optimized geometry

Cell: 16.804 16.804 16.804 Å, 154.80 154.80 35.94°
Sites, in units of the cell vectors:
K1 0.053 0.303 0.750
K2 0.197 0.447 0.750
K3 0.303 0.053 0.250
K4 0.447 0.197 0.250
K5 0.553 0.803 0.750
K6 0.697 0.947 0.750
K7 0.803 0.553 0.250
K8 0.947 0.697 0.250
U1 0.125 0.875 0.250
U2 0.375 0.625 0.750
U3 0.625 0.375 0.250
U4 0.875 0.125 0.750
S1 0.048 0.798 0.250
S2 0.124 0.874 0.748
S3 0.126 0.374 0.250
S4 0.202 0.952 0.250
S5 0.298 0.548 0.750
S6 0.374 0.624 0.248
S7 0.376 0.124 0.750
S8 0.452 0.702 0.750
S9 0.548 0.298 0.250
S10 0.624 0.876 0.250
S11 0.626 0.376 0.752
S12 0.702 0.452 0.250
S13 0.798 0.048 0.750
S14 0.874 0.626 0.750
S15 0.876 0.126 0.252
S16 0.952 0.202 0.750

The calculation puts the magnetization at 0.0 μB per cell. Its formation energy without anion corrections is -124 kJ per mole of atoms.

***

Entry 8:
Compound: KUS2
Source: Alexandria
Functional: GGA-PBE
Structure: optimized geometry

Cell: 3.465 3.465 7.632 Å, 90.00 90.00 90.00°
Sites, in units of the cell vectors:
K1 0.000 0.000 0.000
U1 0.000 0.000 0.500
S1 0.500 0.500 0.294
S2 0.500 0.500 0.706

The calculation puts the magnetization at 2.8 μB per cell. Its formation energy without anion corrections is -120 kJ per mole of atoms.

***

Entry 9:
Compound: K3U4S8
Source: Alexandria
Functional: GGA-PBE
Structure: optimized geometry

Cell: 8.229 8.229 8.077 Å, 118.93 118.93 90.30°
Sites, in units of the cell vectors:
K1 0.000 0.000 0.000
K2 0.000 0.500 0.000
K3 0.500 0.000 0.000
U1 0.000 0.500 0.500
U2 0.500 0.000 0.500
U3 0.500 0.500 0.000
U4 0.500 0.500 0.500
S1 0.266 0.734 0.000
S2 0.267 0.733 0.500
S3 0.273 0.273 0.527
S4 0.296 0.296 0.050
S5 0.704 0.704 0.950
S6 0.727 0.727 0.473
S7 0.733 0.267 0.500
S8 0.734 0.266 0.000

The calculation puts the magnetization at 11.0 μB per cell. Its formation energy without anion corrections is -120 kJ per mole of atoms.

***

Entry 10:
Compound: K3US4
Source: Alexandria
Functional: GGA-PBE
Structure: optimized geometry

Cell: 7.666 7.666 4.182 Å, 90.00 90.00 109.12°
Sites, in units of the cell vectors:
K1 0.000 0.000 0.000
K2 0.000 0.500 0.500
K3 0.500 0.000 0.500
U1 0.500 0.500 0.000
S1 0.298 0.702 0.000
S2 0.299 0.299 0.500
S3 0.701 0.701 0.500
S4 0.702 0.298 0.000

The calculation puts the magnetization at 1.0 μB per cell. Its formation energy without anion corrections is -129 kJ per mole of atoms.

***

Entry 11:
Compound: KUS2
Source: Alexandria
Functional: GGA-PBE
Structure: optimized geometry

Cell: 7.971 7.971 7.971 Å, 29.05 29.05 29.05°
Sites, in units of the cell vectors:
K1 0.000 0.000 0.000
U1 0.170 0.170 0.170
S1 0.571 0.571 0.571
S2 0.769 0.769 0.769

The calculation puts the magnetization at 3.0 μB per cell. Its formation energy without anion corrections is -131 kJ per mole of atoms.

***

Entry 12:
Compound: K7US6
Source: Alexandria
Functional: GGA-PBE
Structure: optimized geometry

Cell: 8.371 8.371 8.371 Å, 63.13 63.13 63.13°
Sites, in units of the cell vectors:
K1 0.000 0.000 0.000
K2 0.054 0.453 0.840
K3 0.311 0.830 0.599
K4 0.453 0.840 0.054
K5 0.599 0.311 0.830
K6 0.830 0.599 0.311
K7 0.840 0.054 0.453
U1 0.347 0.347 0.347
S1 0.032 0.236 0.557
S2 0.161 0.673 0.421
S3 0.236 0.557 0.032
S4 0.421 0.161 0.673
S5 0.557 0.032 0.236
S6 0.673 0.421 0.161

The calculation puts the magnetization at 1.0 μB per cell. Its formation energy without anion corrections is -115 kJ per mole of atoms.